(1)
CaCrO2: optimized geometry, PBE+U.

The structure in POSCAR format:
```
CaCrO2
1.0
-6.128 -0.809 0.877
1.138 -5.342 3.024
-2.186 -0.376 6.601
Cr Ca O
4 4 8
direct
0.375 0.125 0.750
0.875 0.125 0.250
0.875 0.625 0.250
0.875 0.125 0.750
0.375 0.125 0.250
0.375 0.625 0.750
0.875 0.625 0.750
0.375 0.625 0.250
0.150 0.927 0.701
0.600 0.878 0.799
0.150 0.372 0.701
0.628 0.850 0.299
0.600 0.323 0.799
0.073 0.850 0.299
0.677 0.400 0.201
0.122 0.400 0.201
```

Output
- total magnetic moment (μB/f.u.) = 4.00
- SG = No. 141
- calculated volume (Å³/atom) = 13.120

***

(2)
CaCrO2: optimized geometry, PBE+U.

The structure in POSCAR format:
```
CaCrO2
1.0
-0.507 -1.596 2.621
3.802 -6.384 -3.150
7.641 1.045 5.806
Cr O Ca
4 8 4
direct
0.024 0.113 0.726
0.976 0.887 0.274
0.561 0.510 0.189
0.439 0.490 0.811
0.998 0.347 0.252
0.672 0.153 0.578
0.137 0.664 0.113
0.002 0.653 0.748
0.596 0.010 0.155
0.404 0.990 0.845
0.328 0.847 0.422
0.863 0.336 0.887
0.215 0.189 0.035
0.643 0.815 0.607
0.357 0.185 0.393
0.785 0.811 0.965
```

Output
- total magnetic moment (μB/f.u.) = 4.00
- SG = No. 11
- calculated volume (Å³/atom) = 14.316

***

(3)
CaCr2O4: optimized geometry, PBE+U.

The structure in POSCAR format:
```
CaCr2O4
1.0
-2.636 4.419 -3.160
-5.833 1.281 0.888
-1.408 5.588 3.219
O Cr Ca
8 4 2
direct
0.407 0.407 0.778
0.906 0.400 0.788
0.373 0.857 0.396
0.906 0.906 0.788
0.400 0.906 0.788
0.857 0.373 0.396
0.856 0.856 0.432
0.373 0.373 0.396
0.149 0.149 0.552
0.629 0.629 0.602
0.629 0.139 0.602
0.139 0.629 0.602
0.983 0.983 0.052
0.635 0.635 0.096
```

Output
- total magnetic moment (μB/f.u.) = 6.00
- SG = No. 160
- calculated volume (Å³/atom) = 12.640

***

(4)
Ca2Cr9O13: optimized geometry, PBE+U.

The structure in POSCAR format:
```
Ca2Cr9O13
1.0
3.109 -0.048 0.000
1.239 5.152 0.002
1.341 2.188 16.394
O Ca Cr
13 2 9
direct
0.366 0.940 0.318
0.634 0.060 0.682
0.399 0.018 0.146
0.601 0.982 0.854
0.463 0.581 0.623
0.537 0.419 0.377
0.000 0.000 0.000
0.933 0.431 0.770
0.067 0.569 0.230
0.933 0.780 0.461
0.612 0.555 0.082
0.067 0.220 0.539
0.388 0.445 0.918
0.710 0.241 0.232
0.290 0.759 0.768
0.500 0.500 0.500
0.770 0.897 0.579
0.029 0.321 0.661
0.348 0.260 0.040
0.971 0.679 0.339
0.016 0.778 0.122
0.652 0.740 0.960
0.984 0.222 0.878
0.230 0.103 0.421
```

Output
- total magnetic moment (μB/f.u.) = 8.01
- SG = No. 2
- calculated volume (Å³/atom) = 10.980

***

(5)
CaCr2O4: optimized geometry, PBE+U.

The structure in POSCAR format:
```
CaCr2O4
1.0
3.037 0.000 0.000
0.000 9.194 0.000
0.000 0.000 10.799
O Cr Ca
16 8 4
direct
0.750 0.082 0.927
0.250 0.918 0.073
0.250 0.202 0.163
0.750 0.382 0.975
0.750 0.582 0.573
0.250 0.118 0.475
0.250 0.702 0.337
0.750 0.971 0.286
0.250 0.529 0.786
0.250 0.029 0.714
0.750 0.298 0.663
0.750 0.471 0.214
0.250 0.618 0.025
0.750 0.882 0.525
0.250 0.418 0.427
0.750 0.798 0.837
0.750 0.084 0.601
0.750 0.060 0.113
0.250 0.440 0.613
0.250 0.940 0.887
0.750 0.584 0.899
0.250 0.416 0.101
0.750 0.560 0.387
0.250 0.916 0.399
0.250 0.260 0.841
0.250 0.760 0.659
0.750 0.240 0.341
0.750 0.740 0.159
```

Output
- total magnetic moment (μB/f.u.) = 6.00
- SG = No. 62
- calculated volume (Å³/atom) = 10.768

***

(6)
CaCr2O2: optimized geometry, PBE+U.

The structure in POSCAR format:
```
CaCr2O2
1.0
-3.520 3.520 5.915
3.520 -3.520 5.915
3.520 3.520 -5.915
Cr O Ca
8 8 4
direct
0.951 0.733 0.219
0.483 0.201 0.719
0.483 0.764 0.281
0.267 0.049 0.781
0.236 0.517 0.719
0.267 0.486 0.219
0.514 0.733 0.781
0.799 0.517 0.281
0.663 0.415 0.752
0.661 0.913 0.748
0.663 0.911 0.248
0.087 0.339 0.252
0.089 0.337 0.752
0.087 0.835 0.748
0.165 0.913 0.252
0.585 0.337 0.248
0.375 0.125 0.250
0.875 0.125 0.250
0.875 0.625 0.750
0.875 0.125 0.750
```

Output
- total magnetic moment (μB/f.u.) = 9.78
- SG = No. 141
- calculated volume (Å³/atom) = 14.654

***

(7)
Ca5Cr3O13: optimized geometry, PBE+U.

The structure in POSCAR format:
```
Ca5Cr3O13
1.0
-2.835 5.392 3.361
-8.444 -4.908 0.748
-1.496 -5.773 7.998
O Ca Cr
26 10 6
direct
0.448 0.653 0.092
0.948 0.347 0.908
0.250 0.140 0.471
0.750 0.860 0.529
0.250 0.389 0.138
0.250 0.464 0.401
0.944 0.914 0.742
0.942 0.738 0.341
0.750 0.536 0.599
0.250 0.005 0.989
0.552 0.347 0.908
0.750 0.492 0.347
0.442 0.262 0.659
0.444 0.086 0.258
0.750 0.611 0.862
0.056 0.086 0.258
0.058 0.262 0.659
0.750 0.995 0.011
0.556 0.914 0.742
0.250 0.508 0.653
0.558 0.738 0.341
0.750 0.167 0.487
0.250 0.673 0.837
0.750 0.327 0.163
0.250 0.833 0.513
0.052 0.653 0.092
0.499 0.676 0.676
0.250 0.005 0.770
0.750 0.995 0.230
0.250 0.785 0.196
0.750 0.787 0.982
0.750 0.215 0.804
0.501 0.324 0.324
0.999 0.324 0.324
0.250 0.213 0.018
0.001 0.676 0.676
0.750 0.974 0.620
0.750 0.410 0.968
0.250 0.026 0.380
0.250 0.376 0.593
0.250 0.590 0.032
0.750 0.624 0.407
```

Output
- total magnetic moment (μB/f.u.) = 2.03
- SG = No. 11
- calculated volume (Å³/atom) = 14.198

***

(8)
Ca2CrO5: optimized geometry, PBE+U.

The structure in POSCAR format:
```
Ca2CrO5
1.0
8.427 -1.461 1.452
3.566 -2.054 7.637
-6.449 -2.061 -5.425
Cr Ca O
2 4 10
direct
0.446 0.500 0.946
0.946 0.000 0.946
0.300 0.796 0.387
0.800 0.413 0.504
0.591 0.204 0.504
0.091 0.587 0.387
0.161 0.946 0.933
0.811 0.242 0.947
0.987 0.054 0.215
0.487 0.272 0.933
0.948 0.492 0.940
0.448 0.508 0.456
0.311 0.364 0.568
0.661 0.728 0.215
0.705 0.758 0.568
0.205 0.636 0.947
```

Output
- total magnetic moment (μB/f.u.) = 0.64
- SG = No. 46
- calculated volume (Å³/atom) = 15.021

***

(9)
CaCr4O8: optimized geometry, PBE+U.

The structure in POSCAR format:
```
CaCr4O8
1.0
5.829 -2.959 -0.013
5.829 2.959 -0.013
4.338 0.000 4.891
Cr O Ca
4 8 1
direct
0.500 0.500 0.000
0.500 0.000 0.500
0.000 0.000 0.000
0.000 0.500 0.500
0.768 0.768 0.279
0.232 0.721 0.232
0.279 0.768 0.768
0.232 0.232 0.721
0.723 0.723 0.723
0.721 0.232 0.232
0.277 0.277 0.277
0.768 0.279 0.768
0.500 0.500 0.500
```

Output
- total magnetic moment (μB/f.u.) = 10.00
- SG = No. 166
- calculated volume (Å³/atom) = 13.005

***

(10)
CaCrO2: optimized geometry, PBE+U.

The structure in POSCAR format:
```
CaCrO2
1.0
3.116 0.000 0.000
0.000 8.240 0.035
0.000 1.012 8.432
Ca Cr O
4 4 8
direct
0.250 0.315 0.543
0.250 0.576 0.820
0.750 0.424 0.180
0.750 0.685 0.457
0.250 0.785 0.105
0.250 0.053 0.303
0.750 0.947 0.697
0.750 0.215 0.895
0.750 0.679 0.993
0.750 0.899 0.231
0.250 0.540 0.332
0.750 0.188 0.382
0.250 0.812 0.618
0.250 0.101 0.769
0.750 0.460 0.668
0.250 0.321 0.007
```

Output
- total magnetic moment (μB/f.u.) = 4.00
- SG = No. 11
- calculated volume (Å³/atom) = 13.524

***

(11)
Ca2Cr3O8: optimized geometry, PBE+U.

The structure in POSCAR format:
```
Ca2Cr3O8
1.0
3.005 -5.205 0.000
3.005 5.205 0.000
0.000 0.000 10.557
O Ca Cr
16 4 6
direct
0.477 0.523 0.347
0.046 0.523 0.347
0.309 0.154 0.157
0.523 0.046 0.847
0.667 0.333 0.645
0.846 0.691 0.157
0.000 0.000 0.845
0.000 0.000 0.345
0.333 0.667 0.145
0.691 0.846 0.657
0.154 0.309 0.657
0.523 0.477 0.847
0.954 0.477 0.847
0.477 0.954 0.347
0.154 0.846 0.657
0.846 0.154 0.157
0.667 0.333 0.433
0.333 0.667 0.933
0.333 0.667 0.523
0.667 0.333 0.023
0.836 0.673 0.746
0.327 0.164 0.746
0.164 0.836 0.246
0.673 0.836 0.246
0.164 0.327 0.246
0.836 0.164 0.746
```

Output
- total magnetic moment (μB/f.u.) = 6.00
- SG = No. 186
- calculated volume (Å³/atom) = 12.702

***

(12)
CaCrO2: optimized geometry, PBE+U.

The structure in POSCAR format:
```
CaCrO2
1.0
3.110 0.007 0.001
1.518 8.892 0.066
1.542 0.539 9.233
Ca O Cr
4 8 4
direct
0.410 0.862 0.816
0.142 0.776 0.442
0.858 0.224 0.558
0.590 0.138 0.184
0.584 0.706 0.629
0.663 0.895 0.282
0.416 0.294 0.371
0.308 0.598 0.285
0.151 0.183 0.015
0.849 0.817 0.985
0.692 0.402 0.715
0.337 0.105 0.718
0.866 0.456 0.311
0.134 0.544 0.689
0.273 0.819 0.135
0.727 0.181 0.865
```

Output
- total magnetic moment (μB/f.u.) = 4.00
- SG = No. 2
- calculated volume (Å³/atom) = 15.944

***

(13)
Ca2Cr2O5: optimized geometry, PBE+U.

The structure in POSCAR format:
```
Ca2Cr2O5
1.0
3.960 0.000 0.000
0.000 5.444 0.000
0.000 0.000 10.225
O Ca Cr
10 4 4
direct
0.000 0.717 0.888
0.000 0.783 0.388
0.500 0.000 0.000
0.500 0.397 0.800
0.500 0.897 0.700
0.500 0.103 0.300
0.500 0.500 0.500
0.500 0.603 0.200
0.000 0.283 0.112
0.000 0.217 0.612
0.000 0.292 0.379
0.000 0.792 0.121
0.000 0.208 0.879
0.000 0.708 0.621
0.500 0.736 0.867
0.500 0.764 0.367
0.500 0.264 0.133
0.500 0.236 0.633
```

Output
- total magnetic moment (μB/f.u.) = 6.00
- SG = No. 55
- calculated volume (Å³/atom) = 12.247

***

(14)
Ca2Cr2O5: optimized geometry, PBE+U.

The structure in POSCAR format:
```
Ca2Cr2O5
1.0
-2.724 2.813 7.530
2.724 -2.813 7.530
2.724 2.813 -7.530
O Ca Cr
10 4 4
direct
0.769 0.782 0.518
0.231 0.748 0.013
0.764 0.282 0.013
0.236 0.248 0.518
0.429 0.393 0.094
0.870 0.360 0.730
0.201 0.165 0.094
0.130 0.860 0.491
0.571 0.665 0.964
0.799 0.893 0.964
0.417 0.906 0.532
0.874 0.406 0.489
0.583 0.115 0.489
0.126 0.615 0.532
0.500 0.517 0.017
0.814 0.715 0.029
0.000 0.017 0.017
0.186 0.215 0.901
```

Output
- total magnetic moment (μB/f.u.) = 6.00
- SG = No. 46
- calculated volume (Å³/atom) = 12.823

***

(15)
CaCr4O8: optimized geometry, PBE+U.

The structure in POSCAR format:
```
CaCr4O8
1.0
1.518 7.046 -0.033
-1.518 7.046 -0.033
0.000 6.146 6.783
O Ca Cr
8 1 4
direct
0.551 0.551 0.215
0.226 0.226 0.890
0.847 0.847 0.315
0.877 0.877 0.565
0.784 0.784 0.050
0.167 0.167 0.646
0.146 0.146 0.378
0.470 0.470 0.720
0.589 0.589 0.910
0.657 0.657 0.499
0.163 0.163 0.159
0.365 0.365 0.439
0.863 0.863 0.782
```

Output
- total magnetic moment (μB/f.u.) = 10.00
- SG = No. 8
- calculated volume (Å³/atom) = 11.212

***

Listing electronic total energy for the structures above in their given order: -7.123 -7.060 -7.497 -7.448 -7.575 -6.352 -6.821 -6.476 -7.459 -7.087 -7.142 -6.913 -7.161 -7.176 -7.449 eV per atom.